No. 1
Fe2CoCl after structural relaxation, computed with PBE.

```
data_Fe2CoCl
_chemical_formula_sum 'Fe8 Co4 Cl4'
_cell_length_a 5.9380
_cell_length_b 5.9380
_cell_length_c 5.9380
_cell_angle_alpha 90.00
_cell_angle_beta 90.00
_cell_angle_gamma 90.00
_space_group_name_H-M_alt 'F m -3 m'
_space_group_IT_number 225
_space_group_name_Hall '-F 4 2 3'
loop_
_atom_site_label
_atom_site_fract_x
_atom_site_fract_y
_atom_site_fract_z
_atom_site_occupancy
Fe1 0.2500 0.2500 0.2500 1
Co1 0.0000 0.0000 0.0000 1
Cl1 0.0000 0.0000 0.5000 1
```

Values from the calculation:
Crystal system: cubic
Offset from the most stable computed form (meV/atom): 551.0
E_tot (Ry per atom): -0.4248
Total magnetic moment (μB per cell): 29.00
ΔE_f (raw) (kJ per mole of atoms): 66.5

No. 2
FeCoCl after structural relaxation, computed with PBE.

```
data_FeCoCl
_chemical_formula_sum 'Fe2 Co2 Cl2'
_cell_length_a 2.9090
_cell_length_b 2.9090
_cell_length_c 10.2104
_cell_angle_alpha 90.00
_cell_angle_beta 90.00
_cell_angle_gamma 90.00
_space_group_name_H-M_alt 'I 4 m m'
_space_group_IT_number 107
_space_group_name_Hall 'I 4 -2'
loop_
_atom_site_label
_atom_site_fract_x
_atom_site_fract_y
_atom_site_fract_z
_atom_site_occupancy
Fe1 0.0000 0.0000 0.0000 1
Co1 0.0000 0.0000 0.3684 1
Cl1 0.0000 0.0000 0.6817 1
```

Values from the calculation:
Crystal system: tetragonal
Offset from the most stable computed form (meV/atom): 164.8
E_tot (Ry per atom): -0.4014
Total magnetic moment (μB per cell): 9.54
ΔE_f (raw) (kJ per mole of atoms): 33.2

No. 3
FeCo2Cl after structural relaxation, computed with PBE.

```
data_FeCo2Cl
_chemical_formula_sum 'Fe1 Co2 Cl1'
_cell_length_a 2.7892
_cell_length_b 4.1928
_cell_length_c 4.3150
_cell_angle_alpha 90.00
_cell_angle_beta 90.00
_cell_angle_gamma 90.00
_space_group_name_H-M_alt 'P m m m'
_space_group_IT_number 47
loop_
_space_group_symop_operation_xyz
'x,y,z'
'-x,-y,-z'
'-x,-y,z'
'x,y,-z'
'x,-y,-z'
'-x,y,z'
'-x,y,-z'
'x,-y,z'
loop_
_atom_site_label
_atom_site_fract_x
_atom_site_fract_y
_atom_site_fract_z
_atom_site_occupancy
Fe1 0.0000 0.0000 0.0000 1
Co1 0.0000 0.5000 0.5000 1
Co2 0.5000 0.5000 0.0000 1
Cl1 0.5000 0.0000 0.5000 1
```

Values from the calculation:
Crystal system: orthorhombic
Offset from the most stable computed form (meV/atom): 438.1
E_tot (Ry per atom): -0.4081
Total magnetic moment (μB per cell): 6.09
ΔE_f (raw) (kJ per mole of atoms): 55.7

No. 4
FeCo2Cl2 after structural relaxation, computed with PBE.

```
data_FeCo2Cl2
_chemical_formula_sum 'Fe2 Co4 Cl4'
_cell_length_a 6.2612
_cell_length_b 6.2612
_cell_length_c 4.2364
_cell_angle_alpha 90.00
_cell_angle_beta 90.00
_cell_angle_gamma 90.00
_space_group_name_H-M_alt 'P 4/m b m'
_space_group_IT_number 127
_space_group_name_Hall '-P 4 2ab'
loop_
_atom_site_label
_atom_site_fract_x
_atom_site_fract_y
_atom_site_fract_z
_atom_site_occupancy
Fe1 0.0000 0.0000 0.0000 1
Co1 0.1340 0.3660 0.0000 1
Cl1 0.1932 0.3068 0.5000 1
```

Values from the calculation:
Crystal system: tetragonal
Offset from the most stable computed form (meV/atom): 0.0
E_tot (Ry per atom): -0.3584
Total magnetic moment (μB per cell): 12.27
ΔE_f (raw) (kJ per mole of atoms): 38.3

No. 5
FeCoCl after structural relaxation, computed with PBE.

```
data_FeCoCl
_chemical_formula_sum 'Fe1 Co1 Cl1'
_cell_length_a 4.0007
_cell_length_b 4.0007
_cell_length_c 2.8872
_cell_angle_alpha 90.00
_cell_angle_beta 90.00
_cell_angle_gamma 120.00
_space_group_name_H-M_alt 'P 3 m 1'
_space_group_IT_number 156
loop_
_space_group_symop_operation_xyz
'x,y,z'
'-y,x-y,z'
'-x+y,-x,z'
'-y,-x,z'
'-x+y,y,z'
'x,x-y,z'
loop_
_atom_site_label
_atom_site_fract_x
_atom_site_fract_y
_atom_site_fract_z
_atom_site_occupancy
Fe1 0.0000 0.0000 0.0000 1
Co1 0.3333 0.6667 0.5002 1
Cl1 0.6667 0.3333 0.4966 1
```

Values from the calculation:
Crystal system: trigonal
Offset from the most stable computed form (meV/atom): 342.5
E_tot (Ry per atom): -0.3883
Total magnetic moment (μB per cell): 4.40
ΔE_f (raw) (kJ per mole of atoms): 50.3

No. 6
Fe2CoCl after structural relaxation, computed with PBE.

```
data_Fe2CoCl
_chemical_formula_sum 'Fe8 Co4 Cl4'
_cell_length_a 5.1786
_cell_length_b 5.1786
_cell_length_c 9.0967
_cell_angle_alpha 90.00
_cell_angle_beta 90.00
_cell_angle_gamma 90.00
_space_group_name_H-M_alt 'I -4 2 d'
_space_group_IT_number 122
_space_group_name_Hall 'I -4 2bw'
loop_
_atom_site_label
_atom_site_fract_x
_atom_site_fract_y
_atom_site_fract_z
_atom_site_occupancy
Fe1 0.2484 0.2500 0.1250 1
Co1 0.0000 0.0000 0.0000 1
Cl1 0.0000 0.0000 0.5000 1
```

Values from the calculation:
Crystal system: tetragonal
Offset from the most stable computed form (meV/atom): 856.5
E_tot (Ry per atom): -0.4024
Total magnetic moment (μB per cell): 0.00
ΔE_f (raw) (kJ per mole of atoms): 96.0